1.
Material: Er6Pd5
Method: DFT, GGA-PBE
State: optimized geometry

DFT formation energy ... -0.811 eV/atom
SG ... No. 10

```
Er6Pd5
1.0
4.910 0.000 0.000
0.000 6.893 0.000
-2.437 0.000 7.347
Er Pd
6 5
Cartesian
0.000 1.721 0.000
0.000 5.172 0.000
0.012 1.716 4.921
0.012 5.176 4.921
2.461 1.716 2.426
2.461 5.176 2.426
0.005 0.000 2.443
0.007 3.446 2.524
2.455 3.446 0.000
2.466 3.446 4.823
2.467 0.000 4.904
```


2.
Material: Er4Pd
Method: DFT, GGA-PBE
State: optimized geometry

DFT formation energy ... -0.120 eV/atom
Distance to the lowest polymorph of the same formula ... 0.1674 eV/atom
SG ... No. 221

```
Er4Pd
1.0
5.407 0.000 0.000
0.000 5.407 0.000
0.000 0.000 5.407
Er Pd
4 1
Cartesian
0.000 0.000 0.000
0.000 2.703 2.703
2.703 0.000 2.703
2.703 2.703 0.000
2.703 2.703 2.703
```


3.
Material: ErPd2
Method: DFT, GGA-PBE
State: optimized geometry

DFT formation energy ... -0.630 eV/atom
SG ... No. 139

```
ErPd2
1.0
3.950 0.000 0.000
0.000 3.950 0.000
0.000 0.000 8.285
Er Pd
2 4
Cartesian
0.000 0.000 0.000
1.975 1.975 4.142
0.000 1.975 2.071
0.000 1.975 6.214
1.975 0.000 2.071
1.975 0.000 6.214
```


no.,DOS at the Fermi energy (states/eV per cell),V (Å³/atom),electronic total energy (eV per cell)
1,7.6,22.604,-62.3
2,8.4,31.608,-24.0
3,2.7,21.539,-33.7